[1]
Entry from the Alexandria database: crystalline Ti3VSe at its relaxed geometry (GGA-PBE).

Results
As for the total DFT energy (no corrections): -7.5316 eV per atom. Its space-group type is C2/m (12). As for the formation energy without anion corrections: -0.274 eV per atom. The density of states at the Fermi level comes out at 5.05 states/eV/f.u. The calculation puts the distance to the lowest polymorph of the same formula at 0 meV per atom.

a b c (Å): 4.7743 5.4692 8.0621
angles (deg): 69.98 72.78 64.12
Element x y z (fractional)
V1 0.3794 0.7683 0.4729
V2 0.6206 0.2317 0.5271
Se1 0.1402 0.6575 0.0621
Se2 0.8598 0.3425 0.9379
Ti1 0.8632 0.0106 0.2630
Ti2 0.5832 0.6543 0.1793
Ti3 0.1368 0.9894 0.7370
Ti4 0.1477 0.3301 0.3744
Ti5 0.8523 0.6699 0.6256
Ti6 0.4168 0.3457 0.8207

[2]
Entry from the Alexandria database: crystalline NdDy4As5 at its relaxed geometry (GGA-PBE).

Results
The formation enthalpy at 0 K is -1.52 eV/atom. As for the total DFT energy (no corrections): -6.1673 eV per atom. Its space-group type is Immm (71). The density of states at the Fermi level comes out at 1.64 states/eV/f.u.

a b c (Å): 4.1514 5.8709 10.9781
angles (deg): 105.51 100.90 90.00
Element x y z (fractional)
As1 0.0000 0.5000 0.0000
As2 0.8004 0.3004 0.6008
As3 0.6035 0.1035 0.2070
As4 0.3965 0.8965 0.7930
As5 0.1996 0.6996 0.3992
Dy1 0.6007 0.6007 0.2014
Dy2 0.7985 0.7985 0.5970
Dy3 0.2015 0.2015 0.4030
Dy4 0.3993 0.3993 0.7986
Nd1 0.0000 0.0000 0.0000

[3]
Entry from the Alexandria database: crystalline Ta3RuO at its relaxed geometry (GGA-PBE).

Results
As for the total DFT energy (no corrections): -8.4248 eV per atom. Its space-group type is Pm-3m (221). As for the formation energy without anion corrections: 1.534 eV per atom. The density of states at the Fermi level comes out at 5.29 states/eV/f.u. The calculation puts the distance to the lowest polymorph of the same formula at 2110 meV per atom.

a b c (Å): 4.7762 4.7762 4.7762
angles (deg): 90.00 90.00 90.00
Element x y z (fractional)
Ru1 0.0000 0.0000 0.0000
Ta1 0.0000 0.0000 0.5000
Ta2 0.5000 0.0000 0.0000
Ta3 0.0000 0.5000 0.0000
O1 0.5000 0.5000 0.5000

[4]
Entry from the Alexandria database: crystalline LiCdCl2 at its relaxed geometry (GGA-PBE).

Results
As for the total DFT energy (no corrections): -2.5212 eV per atom. Its space-group type is R-3m (166). As for the formation energy without anion corrections: -0.891 eV per atom. The density of states at the Fermi level comes out at 3.35 states/eV/f.u. The calculation puts the distance to the lowest polymorph of the same formula at 169 meV per atom.

a b c (Å): 7.7583 7.7583 7.7583
angles (deg): 34.67 34.67 34.67
Element x y z (fractional)
Cl1 0.1005 0.1005 0.1005
Cl2 0.8995 0.8995 0.8995
Li1 0.0000 0.0000 0.0000
Cd1 0.5000 0.5000 0.5000

[5]
Entry from the Alexandria database: crystalline K2NiAgN at its relaxed geometry (GGA-PBE).

Results
As for the total DFT energy (no corrections): -3.7856 eV per atom. Its space-group type is P4/mmm (123). As for the formation energy without anion corrections: 0.045 eV per atom. The density of states at the Fermi level comes out at 2.81 states/eV/f.u.

a b c (Å): 6.0081 6.0081 3.4355
angles (deg): 90.00 90.00 90.00
Element x y z (fractional)
Ni1 0.0000 0.0000 0.5000
Ag1 0.5000 0.5000 0.5000
K1 0.5000 0.0000 0.0000
K2 0.0000 0.5000 0.0000
N1 0.0000 0.0000 0.0000

[6]
Entry from the Alexandria database: crystalline KBa4P2 at its relaxed geometry (GGA-PBE).

Results
The formation enthalpy at 0 K is -0.64 eV/atom. As for the total DFT energy (no corrections): -3.4456 eV per atom. Its space-group type is C2/m (12). The density of states at the Fermi level comes out at 5.17 states/eV/f.u.

a b c (Å): 4.6802 8.0406 11.8813
angles (deg): 105.08 101.36 90.00
Element x y z (fractional)
P1 0.2455 0.2414 0.4910
P2 0.7545 0.7586 0.5090
K1 0.5000 0.5000 0.0000
Ba1 0.3288 0.9832 0.6576
Ba2 0.6712 0.0168 0.3424
Ba3 0.1770 0.5344 0.3540
Ba4 0.8230 0.4656 0.6460